Density functional theory data (PBE with a Hubbard U) for a geometry-optimized CsCr2CoO8 structure.

Cell and atoms, written as extended XYZ:
```
12
Lattice="5.133 0.000 0.000 -2.566 4.445 0.000 0.000 0.000 8.662" Properties=species:S:1:pos:R:3 pbc="T T T"
Cs 0.000 0.000 0.000
Cr 0.000 2.963 5.946
Cr 2.566 1.482 2.716
Co 0.000 0.000 4.331
O -0.515 1.443 5.449
O -1.059 4.170 5.449
O 0.992 1.167 3.213
O 0.000 2.963 7.585
O 2.566 1.482 1.078
O 1.575 3.278 5.449
O 3.626 0.275 3.213
O 3.081 3.002 3.213
```

Summary:
- Size of the total moment: 0.009 μB/atom
- DOS(E_F): 0.0 states/eV/cell
- Raw total energy: -75.60 eV/cell